# MgTaAgPd

A relaxed structure of MgTaAgPd (PBE, OQMD via LeMat-Bulk).

Calculated values
E = -20.5 eV per cell
crystal system = cubic
offset from the most stable computed form = 0.267 eV per atom
theoretical density = 10.4 g/cm3

The structure in CIF format:
```
data_MgTaAgPd
_chemical_formula_sum 'Mg1 Ta1 Ag1 Pd1'
_cell_length_a 4.5584
_cell_length_b 4.5584
_cell_length_c 4.5584
_cell_angle_alpha 60.00
_cell_angle_beta 60.00
_cell_angle_gamma 60.00
_space_group_name_H-M_alt 'P 1'
_space_group_IT_number 1
loop_
_space_group_symop_operation_xyz
'x,y,z'
loop_
_atom_site_label
_atom_site_type_symbol
_atom_site_fract_x
_atom_site_fract_y
_atom_site_fract_z
Ag1 Ag 0.2500 0.2500 0.2500
Ta1 Ta 0.0000 0.0000 0.0000
Mg1 Mg 0.7500 0.7500 0.7500
Pd1 Pd 0.5000 0.5000 0.5000
```